Record 1
## Rb5TlBr6 (PBE)

Data for a geometry-optimized Rb5TlBr6 structure.

a = 8.534 Å, b = 8.534 Å, c = 8.532 Å
α = 99.59°, β = 99.59°, γ = 120.02°
Atoms (fractional coordinates):
1 Rb 0.000 0.000 0.000
2 Rb 0.166 0.834 0.500
3 Rb 0.333 0.667 0.000
4 Rb 0.667 0.333 0.000
5 Rb 0.834 0.166 0.500
6 Tl 0.500 0.500 0.500
7 Br 0.089 0.418 0.253
8 Br 0.254 0.254 0.747
9 Br 0.418 0.089 0.253
10 Br 0.582 0.911 0.747
11 Br 0.746 0.746 0.253
12 Br 0.911 0.582 0.747

Computed properties:
E_tot: -36.5 eV per formula unit
M_tot: 0.000 μB per formula unit
space-group type: No. 12

Record 2
## Ga3FeOs (PBE)

Data for a geometry-optimized Ga3FeOs structure.

a = 4.819 Å, b = 4.819 Å, c = 4.819 Å
α = 90.00°, β = 90.00°, γ = 90.00°
Atoms (fractional coordinates):
1 Ga 0.000 0.000 0.500
2 Ga 0.000 0.500 0.000
3 Ga 0.500 0.000 0.000
4 Fe 0.500 0.500 0.500
5 Os 0.000 0.000 0.000

Computed properties:
E_tot: -25.7 eV per formula unit
relative energy among the computed polymorphs: 0 meV/atom
M_tot: 3.818 μB per formula unit
space-group type: No. 221
energy of formation: 0.616 eV per atom

Record 3
## GaTcSb2 (PBE)

Data for a geometry-optimized GaTcSb2 structure.

a = 7.615 Å, b = 7.615 Å, c = 7.615 Å
α = 132.88°, β = 132.88°, γ = 68.85°
Atoms (fractional coordinates):
1 Ga 0.000 0.000 0.000
2 Ga 0.750 0.250 0.500
3 Tc 0.250 0.750 0.500
4 Tc 0.500 0.500 0.000
5 Sb 0.151 0.625 0.026
6 Sb 0.375 0.401 0.526
7 Sb 0.599 0.125 0.974
8 Sb 0.875 0.849 0.474

Computed properties:
E_tot: -20.0 eV per formula unit
M_tot: 0.000 μB per formula unit
space-group type: No. 122